Record 1
TiZnSn2Mo (PBE-GGA, relaxed); energy of formation from the pure elements = 1120 meV/atom; uncorrected energy = -0.165 Ha/atom
1.0
4.963 0.000 0.000
0.000 4.768 0.000
0.000 0.000 4.963
Zn Mo Sn Ti
1 1 2 1
direct
0.000 0.000 0.000
0.500 0.500 0.500
0.000 0.000 0.500
0.500 0.000 0.000
0.000 0.500 0.000

=====

Record 2
Sr2PdI (PBE-GGA, relaxed); excess energy over the best structure of this formula in the dataset = 0.35 eV/f.u.; uncorrected energy = -0.125 Ha/atom; formation energy from raw total energies = -0.866 eV per atom
1.0
-2.252 -0.808 3.079
-1.747 -2.839 -2.023
5.769 -5.525 2.770
I Sr Pd
1 2 1
direct
0.500 0.500 0.500
0.000 0.000 0.791
0.000 0.000 0.209
0.500 0.500 0.000